4
Lattice="-0.022 4.910 -1.409 -3.926 -0.918 -3.135 -3.387 1.109 3.916" Properties=species:S:1:pos:R:3 comment="BaLa2Mn | Alexandria | PBE-GGA | relaxed" e_form_ev_per_atom=0.45 space_group=P4/mmm pbc="T T T"
Ba -3.657 0.095 0.390
La -1.974 1.996 -2.272
La 0.000 0.000 0.000
Mn -1.704 3.009 1.253